1.
DFT (PBE-GGA) results for a relaxed Sr2AcNiH8 crystal.

* total DFT energy (no corrections): -3.695 eV/atom
* symmetry: P-3m1, No. 164
* total moment: 0.0 Bohr magnetons per cell
* crystal system: trigonal

Structure (POSCAR):
```
Sr2AcNiH8
1.0
5.093 0.000 0.000
-2.547 4.411 0.000
0.000 0.000 6.889
Sr H Ni Ac
2 8 1 1
Direct
0.333 0.667 0.871
0.667 0.333 0.129
0.852 0.703 0.842
0.333 0.667 0.528
0.297 0.148 0.842
0.148 0.297 0.158
0.852 0.148 0.842
0.148 0.852 0.158
0.703 0.852 0.158
0.667 0.333 0.472
0.000 0.000 0.000
0.000 0.000 0.500
```

***

2.
DFT (PBE-GGA) results for a relaxed MgPdS2O8 crystal.

* total DFT energy (no corrections): -5.792 eV/atom
* symmetry: I-4m2, No. 119
* total moment: 2.0 Bohr magnetons per cell
* crystal system: tetragonal

Structure (POSCAR):
```
MgPdS2O8
1.0
-5.407 1.004 2.106
4.049 -3.047 3.000
2.343 5.390 -0.363
O Pd S Mg
8 1 2 1
Direct
0.756 0.092 0.664
0.333 0.174 0.841
0.333 0.492 0.159
0.508 0.667 0.841
0.908 0.572 0.664
0.826 0.667 0.159
0.908 0.244 0.336
0.428 0.092 0.336
0.250 0.750 0.500
0.750 0.250 0.500
0.500 0.500 0.000
0.000 0.000 0.000
```

***

3.
DFT (PBE-GGA) results for a relaxed Pm3Sm5Te8 crystal.

* total DFT energy (no corrections): -5.324 eV/atom
* symmetry: R-3m, No. 166
* total moment: 0.0 Bohr magnetons per cell
* crystal system: trigonal

Structure (POSCAR):
```
Pm3Sm5Te8
1.0
7.732 0.000 4.429
2.598 7.283 4.429
0.037 0.026 8.900
Te Sm Pm
8 5 3
Direct
0.251 0.750 0.249
0.750 0.750 0.249
0.750 0.251 0.249
0.250 0.250 0.751
0.251 0.251 0.248
0.250 0.749 0.751
0.749 0.749 0.752
0.749 0.250 0.751
0.000 0.000 0.000
0.000 0.500 0.000
0.500 0.500 0.500
0.500 0.000 0.000
0.500 0.500 0.000
0.500 0.000 0.500
0.000 0.500 0.500
0.000 0.000 0.500
```

***

4.
DFT (PBE-GGA) results for a relaxed Li2GeF6 crystal.

* total DFT energy (no corrections): -4.921 eV/atom
* symmetry: P4_2/mnm, No. 136
* total moment: 0.0 Bohr magnetons per cell
* crystal system: tetragonal

Structure (POSCAR):
```
Li2GeF6
1.0
-4.432 1.245 -0.720
-1.438 -3.808 2.268
0.033 4.574 7.701
F Ge Li
12 2 4
Direct
0.189 0.811 0.850
0.189 0.811 0.150
0.311 0.311 0.350
0.689 0.689 0.350
0.311 0.311 0.650
0.689 0.689 0.650
0.221 0.779 0.500
0.811 0.189 0.850
0.811 0.189 0.150
0.279 0.279 0.000
0.721 0.721 0.000
0.779 0.221 0.500
0.500 0.500 0.500
0.000 0.000 0.000
0.000 0.000 0.338
0.000 0.000 0.662
0.500 0.500 0.162
0.500 0.500 0.838
```

***

5.
DFT (PBE-GGA) results for a relaxed GaTeRhO6 crystal.

* total DFT energy (no corrections): -5.861 eV/atom
* symmetry: P-31c, No. 163
* total moment: 0.0 Bohr magnetons per cell
* crystal system: trigonal

Structure (POSCAR):
```
GaTeRhO6
1.0
-5.049 0.695 -0.394
2.200 -4.061 -2.191
-1.204 -4.601 7.318
O Rh Te Ga
12 2 2 2
Direct
0.655 0.003 0.372
0.997 0.651 0.372
0.655 0.651 0.128
0.651 0.655 0.628
0.003 0.349 0.628
0.997 0.345 0.128
0.349 0.003 0.128
0.003 0.655 0.872
0.345 0.997 0.628
0.345 0.349 0.872
0.651 0.997 0.872
0.349 0.345 0.372
0.000 0.000 0.500
0.000 0.000 0.000
0.667 0.333 0.250
0.333 0.667 0.750
0.667 0.333 0.750
0.333 0.667 0.250
```

***

6.
DFT (PBE-GGA) results for a relaxed Tb3CdHg crystal.

* energy relative to the elements: -139 meV/atom
* ΔE to the lowest computed polymorph: 159 meV/atom
* symmetry: C2/c, No. 15
* total moment: 0.0 Bohr magnetons per cell
* crystal system: monoclinic

Structure (POSCAR):
```
Tb3CdHg
1.0
6.630 -0.091 0.123
3.168 5.825 0.123
3.526 2.064 15.117
Tb Hg Cd
12 4 4
Direct
0.750 0.225 0.055
0.250 0.775 0.945
0.838 0.646 0.113
0.162 0.354 0.887
0.775 0.250 0.445
0.354 0.162 0.387
0.245 0.120 0.183
0.646 0.838 0.613
0.225 0.750 0.555
0.120 0.245 0.683
0.755 0.880 0.817
0.880 0.755 0.317
0.500 0.000 0.000
0.724 0.276 0.250
0.000 0.500 0.500
0.276 0.724 0.750
0.703 0.384 0.843
0.616 0.297 0.657
0.384 0.703 0.343
0.297 0.616 0.157
```

***

7.
DFT (PBE-GGA) results for a relaxed NdSm2Cd2 crystal.

* energy relative to the elements: -254 meV/atom
* ΔE to the lowest computed polymorph: 0 meV/atom
* symmetry: P2_1/m, No. 11
* total moment: 0.0 Bohr magnetons per cell
* crystal system: monoclinic

Structure (POSCAR):
```
NdSm2Cd2
1.0
3.776 0.000 -0.507
0.000 5.500 0.000
-0.031 0.000 14.145
Nd Cd Sm
2 4 4
Direct
0.851 0.750 0.704
0.149 0.250 0.296
0.359 0.250 0.718
0.551 0.250 0.101
0.449 0.750 0.899
0.641 0.750 0.282
0.954 0.250 0.908
0.235 0.750 0.472
0.046 0.750 0.092
0.765 0.250 0.528
```

***

8.
DFT (PBE-GGA) results for a relaxed Cs4AgI2 crystal.

* total DFT energy (no corrections): -2.078 eV/atom
* symmetry: I4/mmm, No. 139
* total moment: 0.0 Bohr magnetons per cell
* crystal system: tetragonal

Structure (POSCAR):
```
Cs4AgI2
1.0
-1.754 4.003 5.434
5.425 -2.503 3.595
7.558 8.065 0.973
I Cs Ag
2 4 1
Direct
0.386 0.386 0.228
0.614 0.614 0.772
0.197 0.197 0.605
0.803 0.803 0.395
0.000 0.500 0.000
0.500 0.000 0.000
0.000 0.000 0.000
```